[1]
Nd3SnPCl | GGA-PBE | optimized geometry

Space-group type: No. 11
Energy relative to the elements, uncorrected: -1.265 eV per atom

a = 7.410 Å, b = 4.185 Å, c = 11.322 Å
α = 90.00°, β = 102.07°, γ = 90.00°
Positions (direct):
Nd1 0.043 0.250 0.145
Nd2 0.272 0.250 0.501
Nd3 0.453 0.750 0.848
Nd4 0.547 0.250 0.152
Nd5 0.728 0.750 0.499
Nd6 0.957 0.750 0.855
Sn1 0.347 0.750 0.306
Sn2 0.653 0.250 0.694
P1 0.234 0.250 0.942
P2 0.766 0.750 0.058
Cl1 0.124 0.750 0.635
Cl2 0.876 0.250 0.365

=====

[2]
BaMoW2 | GGA-PBE | optimized geometry

Space-group type: No. 12
Distance to the lowest polymorph of the same formula: 178.3 meV/atom
Formation energy: 1026 meV/atom

a = 5.138 Å, b = 5.138 Å, c = 6.427 Å
α = 103.08°, β = 103.08°, γ = 37.36°
Positions (direct):
Ba1 0.000 0.000 0.000
Mo1 0.500 0.500 0.500
W1 0.211 0.211 0.623
W2 0.789 0.789 0.377

=====

[3]
Dy2Mn16Be | GGA-PBE | optimized geometry

Space-group type: No. 160
Formation energy: 9 meV/atom

a = 6.283 Å, b = 6.283 Å, c = 6.283 Å
α = 86.12°, β = 86.12°, γ = 86.12°
Positions (direct):
Dy1 0.000 0.000 0.000
Dy2 0.295 0.295 0.295
Mn1 0.003 0.003 0.525
Mn2 0.003 0.525 0.003
Mn3 0.150 0.647 0.647
Mn4 0.292 0.292 0.776
Mn5 0.292 0.776 0.292
Mn6 0.379 0.651 0.920
Mn7 0.379 0.920 0.651
Mn8 0.525 0.003 0.003
Mn9 0.549 0.549 0.549
Mn10 0.647 0.150 0.647
Mn11 0.647 0.647 0.150
Mn12 0.651 0.379 0.920
Mn13 0.651 0.920 0.379
Mn14 0.776 0.292 0.292
Mn15 0.920 0.379 0.651
Mn16 0.920 0.651 0.379
Be1 0.751 0.751 0.751

=====

[4]
Ti3Zn2Cu8 | GGA-PBE | optimized geometry

Space-group type: No. 166
Formation energy: 90 meV/atom

a = 9.920 Å, b = 9.920 Å, c = 9.920 Å
α = 27.70°, β = 27.70°, γ = 27.70°
Positions (direct):
Ti1 0.000 0.000 0.000
Ti2 0.185 0.185 0.185
Ti3 0.815 0.815 0.815
Zn1 0.362 0.362 0.362
Zn2 0.638 0.638 0.638
Cu1 0.230 0.733 0.733
Cu2 0.267 0.267 0.770
Cu3 0.267 0.770 0.267
Cu4 0.277 0.277 0.277
Cu5 0.723 0.723 0.723
Cu6 0.733 0.230 0.733
Cu7 0.733 0.733 0.230
Cu8 0.770 0.267 0.267

=====

Calculated values (Å³/cell) of V for the records, taken in order: 343; 100; 246; 186.
Calculated values (eV per atom) of electronic total energy for the records, taken in order: -5.525; -8.639; -8.393; -4.449.